Below is a relaxed Tc2PdBr crystal, with properties calculated at the PBE-GGA level.

Results
Relative energy among the computed polymorphs = 0.543 eV per atom
Space group = I-42d
Electronic total energy = -0.4051 Ry per atom
ΔE_f (raw) = 1.39 eV per atom

Lattice parameters (Å, degrees): 7.055 7.055 7.055 134.69 134.69 66.01
Fractional coordinates of all 8 atoms:
Tc  0.112  0.625  0.987
Tc  0.375  0.362  0.487
Tc  0.638  0.125  0.013
Tc  0.875  0.888  0.513
Pd  0.250  0.750  0.500
Pd  0.500  0.500  0.000
Br  0.000  0.000  0.000
Br  0.750  0.250  0.500